Ca3SO: single point on PBEsol structure, meta-GGA SCAN.

Output
M_tot ... 0.00 Bohr magnetons per cell
Symmetry ... Pm-3m, No. 221
DOS(E_F) ... 3.744 states/eV/cell
Uncorrected formation energy ... -697 meV per atom

a = 5.181 Å, b = 5.181 Å, c = 5.181 Å
α = 90.00°, β = 90.00°, γ = 90.00°
Sites, in units of the cell vectors:
Ca 0.000 0.500 0.000
Ca 0.000 0.000 0.500
Ca 0.500 0.000 0.000
S 0.000 0.000 0.000
O 0.500 0.500 0.500



CaS3O10: single point on PBEsol structure, meta-GGA SCAN.

Output
M_tot ... 0.00 Bohr magnetons per cell
Symmetry ... P2_1/c, No. 14
DOS(E_F) ... 0.000 states/eV/cell
Uncorrected formation energy ... -1817 meV per atom

a = 8.446 Å, b = 9.039 Å, c = 10.094 Å
α = 90.00°, β = 91.88°, γ = 90.00°
Sites, in units of the cell vectors:
Ca 0.298 0.776 0.522
Ca 0.798 0.724 0.022
Ca 0.702 0.224 0.478
Ca 0.202 0.276 0.978
S 0.147 0.166 0.502
S 0.647 0.334 0.002
S 0.853 0.834 0.498
S 0.353 0.666 0.998
S 0.343 0.078 0.287
S 0.843 0.422 0.787
S 0.657 0.922 0.713
S 0.157 0.578 0.213
S 0.344 0.388 0.640
S 0.844 0.112 0.140
S 0.656 0.612 0.360
S 0.156 0.888 0.860
O 0.331 0.925 0.328
O 0.831 0.575 0.828
O 0.669 0.075 0.672
O 0.169 0.425 0.172
O 0.250 0.065 0.571
O 0.750 0.435 0.071
O 0.750 0.935 0.429
O 0.250 0.565 0.929
O 0.980 0.159 0.518
O 0.480 0.341 0.018
O 0.020 0.841 0.482
O 0.520 0.659 0.982
O 0.312 0.106 0.149
O 0.812 0.394 0.649
O 0.688 0.894 0.851
O 0.188 0.606 0.351
O 0.194 0.332 0.532
O 0.694 0.168 0.032
O 0.806 0.668 0.468
O 0.306 0.832 0.968
O 0.172 0.156 0.349
O 0.672 0.344 0.849
O 0.828 0.844 0.651
O 0.328 0.656 0.151
O 0.471 0.160 0.349
O 0.971 0.340 0.849
O 0.529 0.840 0.651
O 0.029 0.660 0.151
O 0.313 0.545 0.634
O 0.813 0.955 0.134
O 0.687 0.455 0.366
O 0.187 0.045 0.866
O 0.309 0.316 0.763
O 0.809 0.184 0.263
O 0.691 0.684 0.237
O 0.191 0.816 0.737
O 0.486 0.339 0.579
O 0.986 0.161 0.079
O 0.514 0.661 0.421
O 0.014 0.839 0.921



CaSbO2: single point on PBEsol structure, meta-GGA SCAN.

Output
M_tot ... 0.00 Bohr magnetons per cell
Symmetry ... R-3m, No. 166
DOS(E_F) ... 0.885 states/eV/cell
Uncorrected formation energy ... -1220 meV per atom

a = 3.678 Å, b = 3.678 Å, c = 6.760 Å
α = 74.22°, β = 74.22°, γ = 60.00°
Sites, in units of the cell vectors:
Sb 0.500 0.500 0.500
Ca 0.000 0.000 0.000
O 0.888 0.888 0.337
O 0.112 0.112 0.663



Sr2CaSbO6: single point on PBEsol structure, meta-GGA SCAN.

Output
M_tot ... 2.07 Bohr magnetons per cell
Symmetry ... P2_1/c, No. 14
DOS(E_F) ... 11.198 states/eV/cell
Uncorrected formation energy ... -2546 meV per atom

a = 5.807 Å, b = 5.942 Å, c = 8.255 Å
α = 90.00°, β = 90.18°, γ = 90.00°
Each line ends with the local moment (μB).
Sites, in units of the cell vectors:
Sr 0.987 0.455 0.252  0.00
Sr 0.013 0.545 0.748  0.00
Sr 0.513 0.955 0.248  0.00
Sr 0.487 0.045 0.752  0.00
Ca 0.000 0.000 0.500  -0.01
Ca 0.500 0.500 0.000  -0.01
Sb 0.000 0.000 0.000  -0.02
Sb 0.500 0.500 0.500  -0.02
O 0.810 0.730 0.052  0.18
O 0.190 0.270 0.948  0.18
O 0.690 0.230 0.448  0.18
O 0.310 0.770 0.552  0.18
O 0.090 0.033 0.232  0.17
O 0.910 0.967 0.768  0.17
O 0.410 0.533 0.268  0.17
O 0.590 0.467 0.732  0.17
O 0.727 0.194 0.042  0.12
O 0.273 0.806 0.958  0.12
O 0.773 0.694 0.458  0.12
O 0.227 0.306 0.542  0.12



CaSbTe2O: single point on PBEsol structure, meta-GGA SCAN.

Output
M_tot ... 0.00 Bohr magnetons per cell
Symmetry ... P4/mmm, No. 123
DOS(E_F) ... 2.603 states/eV/cell
Uncorrected formation energy ... -525 meV per atom

a = 4.695 Å, b = 4.930 Å, c = 4.930 Å
α = 90.00°, β = 90.00°, γ = 90.00°
Sites, in units of the cell vectors:
Sb 0.500 0.000 0.000
Ca 0.500 0.500 0.500
Te 0.000 0.000 0.500
Te 0.000 0.500 0.000
O 0.000 0.000 0.000



CaSc2O: single point on PBEsol structure, meta-GGA SCAN.

Output
M_tot ... 0.95 Bohr magnetons per cell
Symmetry ... R-3m, No. 166
DOS(E_F) ... 2.381 states/eV/cell
Uncorrected formation energy ... -1051 meV per atom

a = 3.553 Å, b = 3.553 Å, c = 9.693 Å
α = 79.44°, β = 79.44°, γ = 60.00°
Each line ends with the local moment (μB).
Sites, in units of the cell vectors:
Sc 0.935 0.935 0.195  0.22
Sc 0.065 0.065 0.805  0.22
Ca 0.500 0.500 0.500  0.04
O 0.000 0.000 0.000  -0.01



- DOS(E_F) of number 1 (Ca3SO)?
  3.744 states/eV/cell



- Which of these has the highest M_tot?
  Sr2CaSbO6



- What is the DOS(E_F) in the first record?
  3.744 states/eV/cell



- The lowest DOS(E_F) belongs to which entry?
  CaS3O10